A plane-wave DFT calculation with PBE was carried out for crystalline Y2PdF at its relaxed geometry.

Computed properties:
Its excess energy over the best structure of this formula in the dataset is 170 meV/atom. Its formation energy from raw total energies is -1233 meV/atom. Its energy is -6.23 eV/atom. As for the symmetry: Fm-3m (225).

Cell: 4.907 4.907 4.907 Å, 60.00 60.00 60.00°
Positions (direct):
Pd 0.500 0.500 0.500
Y 0.750 0.750 0.750
Y 0.250 0.250 0.250
F 0.000 0.000 0.000

=====

A plane-wave DFT calculation with PBE was carried out for crystalline SrH2O at its relaxed geometry.

Computed properties:
Its excess energy over the best structure of this formula in the dataset is 0 meV/atom. Its energy is -4.70 eV/atom. As for the symmetry: P4/nmm (129).

Cell: 3.825 3.825 6.398 Å, 90.00 90.00 90.00°
Positions (direct):
H 0.500 0.500 0.500
H 0.500 0.000 0.693
H 0.000 0.500 0.307
H 0.000 0.000 0.500
Sr 0.500 0.000 0.237
Sr 0.000 0.500 0.763
O 0.000 0.500 0.154
O 0.500 0.000 0.846

=====

A plane-wave DFT calculation with PBE was carried out for crystalline Ge2BiCl at its relaxed geometry.

Computed properties:
Its excess energy over the best structure of this formula in the dataset is 0 meV/atom. Its formation energy from raw total energies is 98 meV/atom. Its energy is -3.64 eV/atom. As for the symmetry: Fm-3m (225).

Cell: 5.105 5.105 5.105 Å, 60.00 60.00 60.00°
Positions (direct):
Cl 0.000 0.000 0.000
Ge 0.750 0.750 0.750
Ge 0.250 0.250 0.250
Bi 0.500 0.500 0.500

=====

A plane-wave DFT calculation with PBE was carried out for crystalline ZrSeI2N at its relaxed geometry.

Computed properties:
Its excess energy over the best structure of this formula in the dataset is 731 meV/atom. Its formation energy from raw total energies is 875 meV/atom. Its energy is -3.82 eV/atom. As for the symmetry: P4/mmm (123).

Cell: 5.990 3.669 5.990 Å, 90.00 90.00 90.00°
Positions (direct):
N 0.000 0.500 0.000
Zr 0.500 0.500 0.500
I 0.500 0.000 0.000
I 0.000 0.000 0.500
Se 0.000 0.000 0.000

=====

A plane-wave DFT calculation with PBE was carried out for crystalline Rb4TmPa3O12 at its relaxed geometry.

Computed properties:
Its formation energy from raw total energies is -2839 meV/atom. Its energy is -7.66 eV/atom. As for the symmetry: Im-3m (229).

Cell: 7.632 7.632 7.632 Å, 109.47 109.47 109.47°
Positions (direct):
O 0.250 0.500 0.750
O 0.741 0.000 0.741
O 0.000 0.259 0.259
O 0.750 0.250 0.500
O 0.250 0.750 0.500
O 0.500 0.750 0.250
O 0.750 0.500 0.250
O 0.741 0.741 0.000
O 0.259 0.259 0.000
O 0.500 0.250 0.750
O 0.259 0.000 0.259
O 0.000 0.741 0.741
Pa 0.500 0.500 0.000
Pa 0.000 0.500 0.500
Pa 0.500 0.000 0.500
Rb 0.500 0.500 0.500
Rb 0.000 0.000 0.500
Rb 0.500 0.000 0.000
Rb 0.000 0.500 0.000
Tm 0.000 0.000 0.000

=====

A plane-wave DFT calculation with PBE was carried out for crystalline Y8Ag2Pd at its relaxed geometry.

Computed properties:
Its excess energy over the best structure of this formula in the dataset is 0 meV/atom. The formation energy is -245 meV/atom. Its energy is -5.94 eV/atom. As for the symmetry: C2/m (12).

Cell: 5.224 6.879 9.227 Å, 105.99 106.45 90.00°
Positions (direct):
Y 0.662 0.973 0.325
Y 0.028 0.783 0.056
Y 0.409 0.556 0.819
Y 0.201 0.316 0.401
Y 0.591 0.444 0.181
Y 0.799 0.684 0.599
Y 0.972 0.217 0.944
Y 0.338 0.027 0.675
Ag 0.185 0.724 0.369
Ag 0.815 0.276 0.631
Pd 0.500 0.000 0.000

=====

A plane-wave DFT calculation with PBE was carried out for crystalline PmTaN4 at its relaxed geometry.

Computed properties:
Its formation energy from raw total energies is -406 meV/atom. Its energy is -8.72 eV/atom. As for the symmetry: P4/mmm (123).

Cell: 4.098 4.098 4.445 Å, 90.00 90.00 90.00°
Positions (direct):
Pm 0.000 0.000 0.000
N 0.000 0.500 0.334
N 0.000 0.500 0.666
N 0.500 0.000 0.666
N 0.500 0.000 0.334
Ta 0.500 0.500 0.500

=====

A plane-wave DFT calculation with PBE was carried out for crystalline KNa2Au2 at its relaxed geometry.

Computed properties:
Its excess energy over the best structure of this formula in the dataset is 18 meV/atom. The formation energy is -264 meV/atom. Its energy is -2.32 eV/atom. As for the symmetry: P4/mbm (127).

Cell: 8.738 8.738 3.410 Å, 90.00 90.00 90.00°
Positions (direct):
Au 0.329 0.171 0.500
Au 0.829 0.329 0.500
Au 0.671 0.829 0.500
Au 0.171 0.671 0.500
Na 0.125 0.375 0.000
Na 0.375 0.875 0.000
Na 0.875 0.625 0.000
Na 0.625 0.125 0.000
K 0.500 0.500 0.000
K 0.000 0.000 0.000